Entry 1:
Density functional theory data (PBEsol) for crystalline Zr2Co2Pt at its relaxed geometry.

Properties
Its space group is P4/mbm (127). Its formation enthalpy at 0 K is -0.595 eV/atom. For the magnetization, the calculation gives 0.5 μB/f.u.

Cell lengths 6.697, 6.697, 3.386 Å; angles 90.00, 90.00, 90.00 degrees
Sites, in units of the cell vectors:
Zr: 0.178 0.322 0.000
Zr: 0.322 0.822 0.000
Zr: 0.678 0.178 0.000
Zr: 0.822 0.678 0.000
Co: 0.123 0.623 0.500
Co: 0.377 0.123 0.500
Co: 0.623 0.877 0.500
Co: 0.877 0.377 0.500
Pt: 0.000 0.000 0.500
Pt: 0.500 0.500 0.500

---

Entry 2:
Density functional theory data (PBEsol) for crystalline BeTl2F at its relaxed geometry.

Properties
Its space group is Fm-3m (225). As for the formation energy without anion corrections: -0.211 eV/atom. For the magnetization, the calculation gives 0.0 μB/f.u.

Cell lengths 4.673, 4.673, 4.673 Å; angles 60.00, 60.00, 60.00 degrees
Sites, in units of the cell vectors:
Be: 0.000 0.000 0.000
Tl: 0.250 0.250 0.250
Tl: 0.750 0.750 0.750
F: 0.500 0.500 0.500

---

no.,calculated total energy (eV per formula unit)
1,-43.6
2,-12.0